No. 1
# Li2TaMn2S6

An optimized crystal structure of Li2TaMn2S6 (GGA-PBE, the Alexandria database).

CIF file:
```
data_Li2TaMn2S6
_space_group_name_H-M_alt 'C 1 2/m 1'
_space_group_IT_number 12
_cell_length_a 5.760
_cell_length_b 10.076
_cell_length_c 6.527
_cell_angle_alpha 90.00
_cell_angle_beta 106.31
_cell_angle_gamma 90.00
loop_
_space_group_symop_operation_xyz
'x,y,z'
'-x,-y,-z'
'-x,y,-z'
'x,-y,z'
'x+1/2,y+1/2,z'
'-x+1/2,-y+1/2,-z'
'-x+1/2,y+1/2,-z'
'x+1/2,-y+1/2,z'
loop_
_atom_site_label
_atom_site_type_symbol
_atom_site_fract_x
_atom_site_fract_y
_atom_site_fract_z
Li1 Li 0.000 0.164 0.000
Ta1 Ta 0.000 0.000 0.500
Mn1 Mn 0.000 0.343 0.500
S1 S 0.223 0.500 0.732
S2 S 0.244 0.177 0.719
```

---

No. 2
# Li2Ta2MnS6

An optimized crystal structure of Li2Ta2MnS6 (GGA-PBE, the Alexandria database).

CIF file:
```
data_Li2Ta2MnS6
_space_group_name_H-M_alt 'C 1 2/m 1'
_space_group_IT_number 12
_cell_length_a 5.761
_cell_length_b 10.340
_cell_length_c 6.636
_cell_angle_alpha 90.00
_cell_angle_beta 105.21
_cell_angle_gamma 90.00
loop_
_space_group_symop_operation_xyz
'x,y,z'
'-x,-y,-z'
'-x,y,-z'
'x,-y,z'
'x+1/2,y+1/2,z'
'-x+1/2,-y+1/2,-z'
'-x+1/2,y+1/2,-z'
'x+1/2,-y+1/2,z'
loop_
_atom_site_label
_atom_site_type_symbol
_atom_site_fract_x
_atom_site_fract_y
_atom_site_fract_z
Li1 Li 0.000 0.177 0.000
Ta1 Ta 0.000 0.361 0.500
Mn1 Mn 0.000 0.000 0.500
S1 S 0.220 0.165 0.717
S2 S 0.233 0.000 0.248
```

---

No. 3
# LiTaMn2S6

An optimized crystal structure of LiTaMn2S6 (GGA-PBE, the Alexandria database).

CIF file:
```
data_LiTaMn2S6
_space_group_name_H-M_alt 'P 1'
_space_group_IT_number 1
_cell_length_a 6.153
_cell_length_b 6.153
_cell_length_c 6.693
_cell_angle_alpha 89.99
_cell_angle_beta 62.69
_cell_angle_gamma 60.02
loop_
_space_group_symop_operation_xyz
'x,y,z'
loop_
_atom_site_label
_atom_site_type_symbol
_atom_site_fract_x
_atom_site_fract_y
_atom_site_fract_z
Li1 Li 0.000 0.000 0.000
Ta1 Ta 0.975 0.512 0.538
Mn1 Mn 0.601 0.699 0.098
Mn2 Mn 0.615 0.193 0.577
S1 S 0.098 0.789 0.321
S2 S 0.122 0.566 0.811
S3 S 0.468 0.113 0.320
S4 S 0.500 0.933 0.811
S5 S 0.755 0.311 0.811
S6 S 0.792 0.419 0.321
```

---

No. 4
# Li3Tb2MnS6

An optimized crystal structure of Li3Tb2MnS6 (GGA-PBE, the Alexandria database).

CIF file:
```
data_Li3Tb2MnS6
_space_group_name_H-M_alt 'C 1 2/m 1'
_space_group_IT_number 12
_cell_length_a 6.580
_cell_length_b 11.455
_cell_length_c 6.485
_cell_angle_alpha 90.00
_cell_angle_beta 109.28
_cell_angle_gamma 90.00
loop_
_space_group_symop_operation_xyz
'x,y,z'
'-x,-y,-z'
'-x,y,-z'
'x,-y,z'
'x+1/2,y+1/2,z'
'-x+1/2,-y+1/2,-z'
'-x+1/2,y+1/2,-z'
'x+1/2,-y+1/2,z'
loop_
_atom_site_label
_atom_site_type_symbol
_atom_site_fract_x
_atom_site_fract_y
_atom_site_fract_z
Li1 Li 0.000 0.000 0.000
Li2 Li 0.000 0.340 0.000
Tb1 Tb 0.000 0.169 0.500
Mn1 Mn 0.000 0.500 0.500
S1 S 0.222 0.500 0.267
S2 S 0.242 0.344 0.752
```

---

Table of raw formation energy (kJ/mol of formula units), in record order: -920, -1056, -722, -1706
Table of raw total energy (eV per cell), in record order: -136.64, -144.82, -64.36, -133.24